[1]
An optimized crystal structure of MgOs2Se, computed with GGA-PBE.

It has space group Fm-3m (No. 225), with a = 6.189 Å, b = 6.189 Å, c = 6.189 Å, α = 90.00°, β = 90.00° and γ = 90.00°. The inequivalent atoms are Mg at (0.000, 0.000, 0.000), Os at (0.250, 0.250, 0.250) and Se at (0.000, 0.000, 0.500).

The value obtained for the uncorrected formation energy is 0.60 eV/atom. The total magnetization comes out at 0.000 μB per atom. As for the calculated total energy: -6.2801 eV per atom. For the energy above the most stable polymorph in this dataset, the calculation gives 462 meV/atom.

***

[2]
An optimized crystal structure of ZrNiW2, computed with GGA-PBE.

It has space group P4mm (No. 99), with a = 2.753 Å, b = 2.753 Å, c = 8.538 Å, α = 90.00°, β = 90.00° and γ = 90.00°. The inequivalent atoms are Zr at (0.000, 0.000, 0.000), Ni at (0.500, 0.500, 0.245), W at (0.000, 0.000, 0.449) and W at (0.500, 0.500, 0.714).

The calculation puts the energy of formation from the pure elements at 0.13 eV per atom. The total magnetization comes out at 0.000 μB per atom. As for the calculated total energy: -9.9255 eV per atom. For the energy above the most stable polymorph in this dataset, the calculation gives 98 meV/atom.

***

[3]
An optimized crystal structure of AlZn, computed with GGA-PBE.

It has space group I-43m (No. 217), with a = 7.783 Å, b = 7.783 Å, c = 7.783 Å, α = 90.00°, β = 90.00° and γ = 90.00°. The inequivalent atoms are Al at (0.126, 0.126, 0.126) and Zn at (0.194, 0.194, 0.806).

The calculation puts the energy of formation from the pure elements at 0.45 eV per atom. The total magnetization comes out at 0.000 μB per atom. As for the calculated total energy: -2.0564 eV per atom.

***

[4]
An optimized crystal structure of KCaHg2, computed with GGA-PBE.

It has space group F-43m (No. 216), with a = 7.698 Å, b = 7.698 Å, c = 7.698 Å, α = 90.00°, β = 90.00° and γ = 90.00°. The inequivalent atoms are K at (0.000, 0.000, 0.000), Ca at (0.250, 0.250, 0.250), Hg at (0.000, 0.000, 0.500) and Hg at (0.250, 0.250, 0.750).

The calculation puts the energy of formation from the pure elements at -0.13 eV per atom. The total magnetization comes out at 0.000 μB per atom. As for the calculated total energy: -1.0600 eV per atom. For the energy above the most stable polymorph in this dataset, the calculation gives 207 meV/atom.

***

[5]
An optimized crystal structure of TbNF3, computed with GGA-PBE.

It has space group P2_1/m (No. 11), with a = 4.409 Å, b = 7.138 Å, c = 6.612 Å, α = 90.00°, β = 90.14° and γ = 90.00°. The inequivalent atoms are Tb at (0.001, 0.250, 0.007), N at (0.492, 0.250, 0.502), F at (0.002, 0.505, 0.201) and F at (0.499, 0.750, 0.990).

The value obtained for the uncorrected formation energy is -2.17 eV/atom. The total magnetization comes out at 0.600 μB per atom. As for the calculated total energy: -5.8869 eV per atom.

***

[6]
An optimized crystal structure of InCo2Se, computed with GGA-PBE.

It has space group P4/mmm (No. 123), with a = 4.349 Å, b = 4.349 Å, c = 3.163 Å, α = 90.00°, β = 90.00° and γ = 90.00°. The inequivalent atoms are In at (0.000, 0.000, 0.000), Co at (0.000, 0.500, 0.500) and Se at (0.500, 0.500, 0.000).

The value obtained for the uncorrected formation energy is 0.28 eV/atom. The total magnetization comes out at 0.440 μB per atom. As for the calculated total energy: -4.8282 eV per atom. For the energy above the most stable polymorph in this dataset, the calculation gives 186 meV/atom.

***

[7]
An optimized crystal structure of CaPr2Ti, computed with GGA-PBE.

It has space group R-3m (No. 166, hexagonal axes), with a = 3.4332 Å, b = 3.4332 Å, c = 37.4863 Å, α = 90.00°, β = 90.00° and γ = 120.00°. The inequivalent atoms are Ca at (0.0000, 0.0000, 0.0000), Pr at (0.0000, 0.0000, 0.4215) and Ti at (0.0000, 0.0000, 0.5000).

The calculation puts the energy of formation from the pure elements at 0.52 eV per atom. The total magnetization comes out at 0.284 μB per atom. As for the calculated total energy: -4.3424 eV per atom.

***

[8]
An optimized crystal structure of YGeHRu2, computed with GGA-PBE.

It has space group Cmcm (No. 63), with a = 3.317 Å, b = 11.422 Å, c = 7.674 Å, α = 90.00°, β = 90.00° and γ = 90.00°. The inequivalent atoms are Y at (0.000, 0.032, 0.250), Ge at (0.000, 0.243, 0.750), H at (0.000, 0.500, 0.000) and Ru at (0.000, 0.349, 0.045).

The total magnetization comes out at 0.020 μB per atom. As for the calculated total energy: -7.0082 eV per atom.